No. 1
Here is RbLa2Pd2 after structural relaxation from the Alexandria database. Energies are from PBE-GGA.

abc: 5.235 5.235 6.909
angles: 67.74 67.74 90.00
Atoms (fractional coordinates):
La 0.750 0.250 0.500
La 0.250 0.750 0.500
Rb 0.000 0.000 0.000
Pd 0.380 0.380 0.240
Pd 0.620 0.620 0.760

Summary:
total magnetic moment = 0.0 μB per formula unit
energy relative to the elements = -293 meV/atom

---

No. 2
Here is RbLa2Pd after structural relaxation from the Alexandria database. Energies are from PBE-GGA.

abc: 9.126 9.126 7.460
angles: 52.29 52.29 90.00
Atoms (fractional coordinates):
Rb 0.500 0.500 0.000
Pd 0.750 0.250 0.500
La 0.037 0.625 0.250
La 0.375 0.287 0.750
Pd 0.000 0.000 0.000
La 0.713 0.125 0.250
Rb 0.250 0.750 0.500
La 0.875 0.963 0.750

Summary:
total magnetic moment = 0.0 μB per formula unit
energy relative to the elements = 99 meV/atom

---

No. 3
Here is Rb2LaPd after structural relaxation from the Alexandria database. Energies are from PBE-GGA.

abc: 11.629 11.629 8.683
angles: 47.96 47.96 90.00
Atoms (fractional coordinates):
Rb 0.513 0.125 0.250
La 0.750 0.250 0.500
La 0.000 0.000 0.000
Rb 0.375 0.487 0.750
Rb 0.237 0.625 0.250
Rb 0.875 0.763 0.750
Pd 0.500 0.500 0.000
Pd 0.250 0.750 0.500

Summary:
total magnetic moment = 0.7 μB per formula unit
energy relative to the elements = 295 meV/atom

---

No. 4
Here is RbLaPd2 after structural relaxation from the Alexandria database. Energies are from PBE-GGA.

abc: 5.288 5.288 5.288
angles: 60.00 60.00 60.00
Atoms (fractional coordinates):
La 0.500 0.500 0.500
Pd 0.250 0.250 0.250
Pd 0.750 0.750 0.750
Rb 0.000 0.000 0.000

Summary:
total magnetic moment = 0.0 μB per formula unit
energy relative to the elements = -165 meV/atom

---

No. 5
Here is RbSr2LaPd after structural relaxation from the Alexandria database. Energies are from PBE-GGA.

abc: 6.358 6.358 5.671
angles: 90.00 90.00 90.00
Atoms (fractional coordinates):
La 0.000 0.000 0.500
Sr 0.500 0.000 0.000
Sr 0.000 0.500 0.000
Rb 0.500 0.500 0.500
Pd 0.000 0.000 0.000

Summary:
total magnetic moment = 0.0 μB per formula unit
energy relative to the elements = -158 meV/atom

---

No. 6
Here is LaRe3Pd after structural relaxation from the Alexandria database. Energies are from PBE-GGA.

abc: 4.761 4.761 4.761
angles: 90.00 90.00 90.00
Atoms (fractional coordinates):
Pd 0.500 0.500 0.500
Re 0.500 0.000 0.000
Re 0.000 0.000 0.500
La 0.000 0.000 0.000
Re 0.000 0.500 0.000

Summary:
total magnetic moment = 0.0 μB per formula unit
energy relative to the elements = 2992 meV/atom

---

No. 7
Here is La3RePd after structural relaxation from the Alexandria database. Energies are from PBE-GGA.

abc: 5.486 5.486 5.486
angles: 90.00 90.00 90.00
Atoms (fractional coordinates):
La 0.500 0.000 0.000
La 0.000 0.500 0.000
La 0.000 0.000 0.500
Re 0.000 0.000 0.000
Pd 0.500 0.500 0.500

Summary:
total magnetic moment = 0.0 μB per formula unit
energy relative to the elements = 182 meV/atom

---

No. 8
Here is LaRe3Pd after structural relaxation from the Alexandria database. Energies are from PBE-GGA.

abc: 4.809 4.809 4.809
angles: 90.00 90.00 90.00
Atoms (fractional coordinates):
Re 0.500 0.000 0.000
Re 0.000 0.500 0.000
Pd 0.000 0.000 0.000
Re 0.000 0.000 0.500
La 0.500 0.500 0.500

Summary:
total magnetic moment = 0.0 μB per formula unit
energy relative to the elements = 1842 meV/atom

---

No. 9
Here is La2RePd after structural relaxation from the Alexandria database. Energies are from PBE-GGA.

abc: 5.115 5.115 5.115
angles: 60.00 60.00 60.00
Atoms (fractional coordinates):
La 0.750 0.750 0.750
La 0.250 0.250 0.250
Re 0.500 0.500 0.500
Pd 0.000 0.000 0.000

Summary:
total magnetic moment = 0.0 μB per formula unit
energy relative to the elements = -34 meV/atom

---

No. 10
Here is La2RePd after structural relaxation from the Alexandria database. Energies are from PBE-GGA.

abc: 7.757 7.757 6.352
angles: 52.37 52.37 90.00
Atoms (fractional coordinates):
La 0.375 0.361 0.750
La 0.639 0.125 0.250
Re 0.750 0.250 0.500
Pd 0.500 0.500 0.000
Pd 0.250 0.750 0.500
La 0.875 0.889 0.750
Re 0.000 0.000 0.000
La 0.111 0.625 0.250

Summary:
total magnetic moment = 0.0 μB per formula unit
energy relative to the elements = 222 meV/atom

---

No. 11
Here is La2RePd2 after structural relaxation from the Alexandria database. Energies are from PBE-GGA.

abc: 7.280 7.280 4.297
angles: 90.00 90.00 90.00
Atoms (fractional coordinates):
Pd 0.867 0.633 0.000
Re 0.000 0.000 0.000
Pd 0.367 0.867 0.000
La 0.318 0.182 0.500
Pd 0.133 0.367 0.000
La 0.182 0.682 0.500
Re 0.500 0.500 0.000
La 0.818 0.318 0.500
La 0.682 0.818 0.500
Pd 0.633 0.133 0.000

Summary:
total magnetic moment = 0.0 μB per formula unit
energy relative to the elements = -115 meV/atom

---

No. 12
Here is LaPd2Rh2 after structural relaxation from the Alexandria database. Energies are from PBE-GGA.

abc: 7.173 7.173 3.542
angles: 90.00 90.00 90.00
Atoms (fractional coordinates):
La 0.500 0.500 0.000
La 0.000 0.000 0.000
Rh 0.369 0.869 0.000
Rh 0.631 0.131 0.000
Rh 0.869 0.631 0.000
Pd 0.663 0.837 0.500
Pd 0.337 0.163 0.500
Rh 0.131 0.369 0.000
Pd 0.837 0.337 0.500
Pd 0.163 0.663 0.500

Summary:
total magnetic moment = 0.0 μB per formula unit
energy relative to the elements = -262 meV/atom